A plane-wave DFT calculation with PBE was carried out for a geometry-optimized LiCa2Ni9 structure.

Unit cell a=4.9243 b=4.9243 c=8.5294 alpha=73.22 beta=73.22 gamma=60.00
Atoms (fractional coordinates):
Li1 0.0000 0.0000 0.0000
Ca1 0.8628 0.8628 0.4117
Ca2 0.1372 0.1372 0.5883
Ni1 0.6674 0.6674 0.9978
Ni2 0.3326 0.3326 0.0022
Ni3 0.5000 0.5000 0.5000
Ni4 0.4205 0.4205 0.2408
Ni5 0.9181 0.4205 0.2408
Ni6 0.4205 0.9181 0.2408
Ni7 0.5795 0.5795 0.7592
Ni8 0.5795 0.0819 0.7592
Ni9 0.0819 0.5795 0.7592

Properties
Total moment ... 3.12 μB/f.u.
V ... 14.1 A^3/atom
Crystal system ... trigonal
Calculated total energy ... -4.88 eV/atom
DOS at the Fermi energy ... 1.1295 states/eV/atom